# 1
VASP calculation (PBE) on B2C3 after structural relaxation.

Computed properties:
* uncorrected energy: -156.9 eV for the cell shown
* formation energy: 1.79 eV per formula unit
* ΔE to the lowest computed polymorph: 0.61 eV/f.u.

Unit cell a=13.4648 b=2.4940 c=4.0743 alpha=90.00 beta=107.18 gamma=90.00
Space group Cm (No. 8)
One atom of each set of equivalent atoms:
B: 0.0000 0.0000 0.0000 [2 per cell]
B: 0.0085 0.5000 0.6903 [2 per cell]
B: 0.1321 0.0000 0.3848 [2 per cell]
B: 0.3071 0.0000 0.5513 [2 per cell]
C: 0.1158 0.5000 0.6095 [2 per cell]
C: 0.2037 0.0000 0.1521 [2 per cell]
C: 0.2101 0.5000 0.9472 [2 per cell]
C: 0.3080 0.5000 0.8211 [2 per cell]
C: 0.4023 0.0000 0.3701 [2 per cell]
C: 0.4039 0.5000 0.1519 [2 per cell]

# 2
VASP calculation (PBE) on RbTaSe2 after structural relaxation.

Computed properties:
* energy relative to the elements, uncorrected: -539 meV per atom
* uncorrected energy: -87.8 eV for the cell shown

Unit cell a=7.7718 b=7.7718 c=8.7971 alpha=90.00 beta=90.00 gamma=90.00
Space group I-42d (No. 122)
One atom of each set of equivalent atoms:
Rb: 0.0000 0.0000 0.0000 [4 per cell]
Ta: 0.0000 0.0000 0.5000 [4 per cell]
Se: 0.1516 0.2500 0.6250 [8 per cell]